DFT (PBE) results for a geometry-optimized Nd2SiPt3 structure.

abc: 3.9119 4.2813 7.7718
angles: 90.00 90.00 90.00
Closest atoms and distances in Å follow each position.
Fractional coordinates of all 6 atoms:
1 Nd 0.0000 0.5000 0.9942  10 Pt 3.12-3.43, 2 Si 3.24
2 Nd 0.0000 0.0000 0.5115  8 Pt 3.05-3.25, 4 Si 3.24
3 Si 0.5000 0.5000 0.3261  3 Pt 2.38
4 Pt 0.5000 0.0000 0.8447  3 Pt 2.70
5 Pt 0.5000 0.0000 0.1915  2 Si 2.38
6 Pt 0.5000 0.5000 0.6320  1 Si 2.38

Properties
energy relative to the elements, uncorrected	-1080.0	meV/atom
spin magnetization	0.000	μB/f.u.
uncorrected energy	-39.6	eV per cell